VASP calculation (SCAN) on a PBEsol-optimized structure of LiReMo.

abc: 2.6157 2.6157 7.1434
angles: 96.78 96.78 110.81
With the nearest neighbours (Å) after each atom.
Fractional positions:
Li1 0.0040 0.0040 0.0080  4 Li 2.62, 2 Re 2.73, 2 Mo 2.87
Mo1 0.3279 0.3279 0.6558  4 Mo 2.62, 2 Re 2.68, 2 Li 2.87
Re1 0.6681 0.6681 0.3362  4 Re 2.62, 2 Mo 2.68, 2 Li 2.73

## Properties
- D(E_F) (states/eV/cell) = 1.61
- raw total energy (eV/atom) = -35.87
- calculated formation energy (eV/atom) = 0.253
- SG = Fmm2 (42)